Computed, not measured: crystalline Rb3Ga5H12 at its relaxed geometry at the PBE level of DFT.

Properties
Size of the total moment: 0.000 μB/atom
Crystal system: cubic
E_tot: -2.90 eV per atom

Unit cell a=12.1354 b=12.1354 c=12.1354 alpha=109.47 beta=109.47 gamma=109.47
With the nearest neighbours (Å) after each atom.
Sites, in units of the cell vectors:
Rb  0.1250  0.2500  0.3750  8 H 2.87-3.17
Rb  0.1250  0.3750  0.7500  8 H 2.87-3.17
Rb  0.2500  0.3750  0.1250  8 H 2.87-3.17
Rb  0.2500  0.8750  0.6250  8 H 2.87-3.17
Rb  0.3750  0.1250  0.2500  8 H 2.87-3.17
Rb  0.3750  0.7500  0.1250  8 H 2.87-3.17
Rb  0.6250  0.2500  0.8750  8 H 2.87-3.17
Rb  0.6250  0.8750  0.7500  8 H 2.87-3.17
Rb  0.7500  0.1250  0.3750  8 H 2.87-3.17
Rb  0.7500  0.6250  0.8750  8 H 2.87-3.17
Rb  0.8750  0.6250  0.2500  8 H 2.87-3.17
Rb  0.8750  0.7500  0.6250  8 H 2.87-3.17
Ga  0.0000  0.0000  0.0000  6 H 2.45
Ga  0.0000  0.0000  0.5000  6 H 2.45
Ga  0.0000  0.5000  0.0000  6 H 2.45
Ga  0.0000  0.5000  0.5000  6 H 2.45
Ga  0.1250  0.7500  0.8750  4 H 1.64
Ga  0.1250  0.8750  0.2500  4 H 1.64
Ga  0.2500  0.1250  0.8750  4 H 1.64
Ga  0.2500  0.6250  0.3750  4 H 1.64
Ga  0.3750  0.2500  0.6250  4 H 1.64
Ga  0.3750  0.6250  0.7500  4 H 1.64
Ga  0.5000  0.0000  0.0000  6 H 2.45
Ga  0.5000  0.0000  0.5000  6 H 2.45
Ga  0.5000  0.5000  0.0000  6 H 2.45
Ga  0.5000  0.5000  0.5000  6 H 2.45
Ga  0.6250  0.3750  0.2500  4 H 1.64
Ga  0.6250  0.7500  0.3750  4 H 1.64
Ga  0.7500  0.3750  0.6250  4 H 1.64
Ga  0.7500  0.8750  0.1250  4 H 1.64
Ga  0.8750  0.1250  0.7500  4 H 1.64
Ga  0.8750  0.2500  0.1250  4 H 1.64
H  0.0222  0.7184  0.1274  1 Ga 1.64
H  0.0222  0.8038  0.8948  1 Ga 1.64
H  0.0910  0.6962  0.7184  1 Ga 1.64
H  0.0910  0.8948  0.3726  1 Ga 1.64
H  0.1052  0.6274  0.9090  1 Ga 1.64
H  0.1052  0.9778  0.1962  1 Ga 1.64
H  0.1274  0.0222  0.7184  1 Ga 1.64
H  0.1274  0.6052  0.4090  1 Ga 1.64
H  0.1962  0.1052  0.9778  1 Ga 1.64
H  0.1962  0.5910  0.2184  1 Ga 1.64
H  0.2184  0.1962  0.5910  1 Ga 1.64
H  0.2184  0.5222  0.6274  1 Ga 1.64
H  0.2816  0.8726  0.9778  1 Ga 1.64
H  0.2816  0.9090  0.3038  1 Ga 1.64
H  0.3038  0.2816  0.9090  1 Ga 1.64
H  0.3038  0.5222  0.3948  1 Ga 1.64
H  0.3726  0.0910  0.8948  1 Ga 1.64
H  0.3726  0.7816  0.4778  1 Ga 1.64
H  0.3948  0.3038  0.5222  1 Ga 1.64
H  0.3948  0.5910  0.8726  1 Ga 1.64
H  0.4090  0.1274  0.6052  1 Ga 1.64
H  0.4090  0.7816  0.8038  1 Ga 1.64
H  0.4778  0.3726  0.7816  1 Ga 1.64
H  0.4778  0.6052  0.6962  1 Ga 1.64
H  0.5222  0.3948  0.3038  1 Ga 1.64
H  0.5222  0.6274  0.2184  1 Ga 1.64
H  0.5910  0.2184  0.1962  1 Ga 1.64
H  0.5910  0.8726  0.3948  1 Ga 1.64
H  0.6052  0.4090  0.1274  1 Ga 1.64
H  0.6052  0.6962  0.4778  1 Ga 1.64
H  0.6274  0.2184  0.5222  1 Ga 1.64
H  0.6274  0.9090  0.1052  1 Ga 1.64
H  0.6962  0.4778  0.6052  1 Ga 1.64
H  0.6962  0.7184  0.0910  1 Ga 1.64
H  0.7184  0.0910  0.6962  1 Ga 1.64
H  0.7184  0.1274  0.0222  1 Ga 1.64
H  0.7816  0.4778  0.3726  1 Ga 1.64
H  0.7816  0.8038  0.4090  1 Ga 1.64
H  0.8038  0.4090  0.7816  1 Ga 1.64
H  0.8038  0.8948  0.0222  1 Ga 1.64
H  0.8726  0.3948  0.5910  1 Ga 1.64
H  0.8726  0.9778  0.2816  1 Ga 1.64
H  0.8948  0.0222  0.8038  1 Ga 1.64
H  0.8948  0.3726  0.0910  1 Ga 1.64
H  0.9090  0.1052  0.6274  1 Ga 1.64
H  0.9090  0.3038  0.2816  1 Ga 1.64
H  0.9778  0.1962  0.1052  1 Ga 1.64
H  0.9778  0.2816  0.8726  1 Ga 1.64